1.
! Al8AgRh2 (PBE, optimized geometry); values from VASP
&SYSTEM
  ibrav = 0, nat = 11, ntyp = 3
/
ATOMIC_SPECIES
Al 26.98 Al.upf
Ag 107.87 Ag.upf
Rh 102.91 Rh.upf
CELL_PARAMETERS angstrom
4.8137 0.0000 0.0000
-0.0834 5.1972 0.0000
-2.3133 -2.5840 6.9628
ATOMIC_POSITIONS angstrom
Al 0.0019 0.0053 1.4585
Al -1.1543 -0.2207 6.9487
Al -0.0015 1.2829 4.4233
Al 0.0702 -1.2624 4.4099
Al 2.3468 3.8756 2.5529
Al 2.4185 1.3303 2.5394
Al 3.5712 2.8339 0.0141
Al 2.4151 2.6079 5.5043
Ag 2.4069 0.0000 0.0000
Rh -0.0209 2.6035 2.2321
Rh 2.4378 0.0096 4.7307
! Energy relative to the elements = -438 meV per atom
! Spin magnetization = 0.0 μB per cell
! E_tot = -0.1748 Ha/atom

=====

2.
! AlAgRh2 (PBE, optimized geometry); values from VASP
&SYSTEM
  ibrav = 0, nat = 8, ntyp = 3
/
ATOMIC_SPECIES
Al 26.98 Al.upf
Ag 107.87 Ag.upf
Rh 102.91 Rh.upf
CELL_PARAMETERS angstrom
9.3082 0.0000 0.0000
0.0000 2.8766 0.0000
-1.2337 0.0000 4.4697
ATOMIC_POSITIONS angstrom
Al 0.0000 0.0000 0.0000
Al 4.6541 1.4383 0.0000
Ag 2.0324 1.4383 1.1449
Ag 6.6865 0.0000 1.1449
Rh -0.4819 1.4383 2.3223
Rh 1.5760 0.0000 3.4260
Rh 4.1722 0.0000 2.3223
Rh 6.2301 1.4383 3.4260
! Energy relative to the elements = -237 meV per atom
! Spin magnetization = 0.0 μB per cell
! E_tot = -0.2044 Ha/atom